# PBE BaZrCo2Hg, relaxed
data_BaZrCo2Hg
_symmetry_space_group_name_H-M 'P 4/m m m'
_symmetry_Int_Tables_number 123
_symmetry_space_group_name_Hall '-P 4 2'
_cell_length_a 4.7328
_cell_length_b 4.7328
_cell_length_c 5.7354
_cell_angle_alpha 90.00
_cell_angle_beta 90.00
_cell_angle_gamma 90.00
loop_
_atom_site_label
_atom_site_type_symbol
_atom_site_fract_x
_atom_site_fract_y
_atom_site_fract_z
Ba1 Ba 0.0000 0.0000 0.0000
Zr1 Zr 0.5000 0.5000 0.5000
Co1 Co 0.0000 0.5000 0.0000
Hg1 Hg 0.0000 0.0000 0.5000
# * E_form: 1.764 eV per atom



# PBE Cd2O2F, relaxed
data_Cd2O2F
_symmetry_space_group_name_H-M 'I 4/m m m'
_symmetry_Int_Tables_number 139
_symmetry_space_group_name_Hall '-I 4 2'
_cell_length_a 4.3104
_cell_length_b 4.3104
_cell_length_c 7.5241
_cell_angle_alpha 90.00
_cell_angle_beta 90.00
_cell_angle_gamma 90.00
loop_
_atom_site_label
_atom_site_type_symbol
_atom_site_fract_x
_atom_site_fract_y
_atom_site_fract_z
Cd1 Cd 0.0000 0.5000 0.2500
O1 O 0.0000 0.0000 0.1483
F1 F 0.0000 0.0000 0.5000
# * raw formation energy: -0.8862 eV/atom



The records above give, respectively, DFT total energy values of -3.2326 -3.6098 eV/atom.